Below is Ta2SiSe after structural relaxation, with properties calculated at the GGA-PBE level.

Output
symmetry	Imm2
energy above the lowest structure with this stoichiometry	296.3	meV/atom

Cell and atoms, written as CIF:
```
data_Ta2SiSe
_chemical_formula_sum 'Ta2 Si1 Se1'
_cell_length_a 5.446
_cell_length_b 5.446
_cell_length_c 5.446
_cell_angle_alpha 145.25
_cell_angle_beta 130.75
_cell_angle_gamma 61.68
_symmetry_space_group_name_H-M 'P 1'
_symmetry_Int_Tables_number 1
loop_
_symmetry_equiv_pos_as_xyz
'x,y,z'
loop_
_atom_site_label
_atom_site_type_symbol
_atom_site_fract_x
_atom_site_fract_y
_atom_site_fract_z
Si1 Si 0.232 0.732 0.500
Ta1 Ta 0.738 0.238 0.500
Ta2 Ta 0.013 0.013 0.000
Se1 Se 0.517 0.517 0.000
```